# NaZrNiAs2, PBEsol geometry, DFT SCAN
# ΔH_f (0 K) = 0.275 eV/atom
data_NaZrNiAs2
_chemical_formula_sum 'Na1 Zr1 Ni1 As2'
_cell_length_a 5.1330
_cell_length_b 5.1330
_cell_length_c 4.7280
_cell_angle_alpha 90.00
_cell_angle_beta 90.00
_cell_angle_gamma 90.00
_space_group_name_H-M_alt 'P 4/m m m'
_space_group_IT_number 123
_space_group_name_Hall '-P 4 2'
loop_
_atom_site_label
_atom_site_fract_x
_atom_site_fract_y
_atom_site_fract_z
_atom_site_occupancy
Na1 0.0000 0.0000 0.0000 1
Zr1 0.5000 0.5000 0.5000 1
Ni1 0.5000 0.5000 0.0000 1
As1 0.0000 0.5000 0.5000 1



# MnTe2Pt, PBEsol geometry, DFT SCAN
# E_form (uncorrected) = -1.91 eV/f.u.
data_MnTe2Pt
_chemical_formula_sum 'Mn2 Te4 Pt2'
_cell_length_a 3.9120
_cell_length_b 4.0168
_cell_length_c 12.0383
_cell_angle_alpha 90.00
_cell_angle_beta 90.00
_cell_angle_gamma 90.00
_space_group_name_H-M_alt 'I m m m'
_space_group_IT_number 71
_space_group_name_Hall '-I 2 2'
loop_
_atom_site_label
_atom_site_fract_x
_atom_site_fract_y
_atom_site_fract_z
_atom_site_occupancy
Mn1 0.0000 0.0000 0.0000 1
Te1 0.0000 0.5000 0.1513 1
Pt1 0.0000 0.0000 0.5000 1